6
Lattice="-3.334 -1.433 -2.250 3.837 -1.810 -0.482 -1.565 -4.735 5.333" Properties=species:S:1:pos:R:3 comment="LiCdP (PBE, optimized geometry)" e_tot_ev_per_atom=-3.143 sg=P6_3mc magnetic_moment_mub_per_fu=0.00 rho_g_cm3=4.3 n_ef_per_ev_cell=0.02 pbc="T T T"
Li -0.409 -1.237 1.393
P -1.985 -4.710 1.888
Cd -0.984 -1.681 -1.523
Li -1.191 -3.605 4.060
P 1.188 -2.468 -0.189
Cd 0.624 -4.175 1.733


4
Lattice="-0.369 -1.149 4.411 -1.063 -3.720 2.438 4.682 -2.468 1.569" Properties=species:S:1:pos:R:3 comment="LiCdP2 (PBE, optimized geometry)" e_tot_ev_per_atom=-3.526 sg=C2/m magnetic_moment_mub_per_fu=0.00 rho_g_cm3=4.1 n_ef_per_ev_cell=0.82 pbc="T T T"
Cd 2.437 -5.502 6.313
Li 0.812 -1.834 2.104
P 1.178 -3.399 4.015
P 0.447 -0.270 0.194


5
Lattice="4.780 0.000 0.000 0.000 4.780 0.000 0.000 0.000 4.780" Properties=species:S:1:pos:R:3 comment="Li3CdP (PBE, optimized geometry)" e_tot_ev_per_atom=-2.071 sg=Pm-3m magnetic_moment_mub_per_fu=0.00 rho_g_cm3=2.5 n_ef_per_ev_cell=0.13 relative_energy_ev_per_fu=3.48 pbc="T T T"
Li 0.000 0.000 2.390
Li 2.390 0.000 0.000
Li 0.000 2.390 0.000
Cd 0.000 0.000 0.000
P 2.390 2.390 2.390


8
Lattice="7.407 0.000 0.000 0.000 7.407 0.000 3.704 3.704 2.606" Properties=species:S:1:pos:R:3 comment="LiCdP2 (PBE, optimized geometry)" e_tot_ev_per_atom=-3.285 sg=I-42d magnetic_moment_mub_per_fu=0.00 rho_g_cm3=4.2 n_ef_per_ev_cell=5.11 pbc="T T T"
Li 3.704 7.407 1.303
P 5.635 1.852 0.651
P 1.772 5.555 0.651
P 9.259 9.339 1.954
Cd 0.000 0.000 0.000
Li 3.704 3.704 0.000
Cd 7.407 3.704 1.303
P 5.555 5.476 1.954